1.
Density functional theory data (PBE) for a relaxed structure of PdBrF2.

Unit cell a=6.1100 b=6.1100 c=6.1100 alpha=90.00 beta=90.00 gamma=90.00
Closest atoms and distances in Å follow each position.
Space group Fm-3m (No. 225)
Inequivalent atoms, fractional coordinates:
1 Pd 0.0000 0.0000 0.0000  8 F 2.65
2 Br 0.0000 0.0000 0.5000  8 F 2.65
3 F 0.2500 0.2500 0.2500  4 Br 2.65, 4 Pd 2.65

## Properties
V (Å³ per cell): 228.1
Offset from the most stable computed form (meV per atom): 743
Formation energy from raw total energies (eV per atom): -0.07

=====

2.
Density functional theory data (PBE) for a relaxed structure of PdBrF2.

Unit cell a=4.0728 b=13.0536 c=6.0565 alpha=90.00 beta=107.79 gamma=90.00
Closest atoms and distances in Å follow each position.
Space group C2/c (No. 15)
Inequivalent atoms, fractional coordinates:
1 Pd 0.0000 0.0683 0.2500  2 F 1.98
2 Br 0.0000 0.3233 0.7500  2 Pd 2.48
3 F 0.2075 0.0705 0.5908  1 Pd 1.98

## Properties
V (Å³ per cell): 306.6
Offset from the most stable computed form (meV per atom): 0
Formation energy from raw total energies (eV per atom): -0.81

=====

Number 1: calculated total energy -2.721 eV/atom, mass density 6.5 g/cm3. Number 2: calculated total energy -3.465 eV/atom, mass density 4.9 g/cm3.